VASP calculation (PBE-GGA) on a geometry-optimized LaSc2Zn structure.

```
data_LaSc2Zn
_chemical_formula_sum 'La1 Sc2 Zn1'
_cell_length_a 10.1137
_cell_length_b 10.1137
_cell_length_c 10.1137
_cell_angle_alpha 19.46
_cell_angle_beta 19.46
_cell_angle_gamma 19.46
_symmetry_space_group_name_H-M 'P 1'
_symmetry_Int_Tables_number 1
loop_
_symmetry_equiv_pos_as_xyz
'x,y,z'
loop_
_atom_site_label
_atom_site_fract_x
_atom_site_fract_y
_atom_site_fract_z
Zn1 0.2500 0.2500 0.2500
Sc1 0.5133 0.5133 0.5133
Sc2 0.9867 0.9867 0.9867
La1 0.7500 0.7500 0.7500
```

Calculated values
* crystal system: trigonal
* calculated volume: 100.4 Å³ per cell
* DOS(E_F): 3.03 states/eV/cell
* space-group type: R-3m (166)
* size of the total moment: 0.00 μB/f.u.
* final energy: -4.7460 eV/atom
* formation enthalpy at 0 K: -30 meV/atom